Entry 1:
# BaLuCuS3

Crystalline BaLuCuS3 at its relaxed geometry (PBE, OQMD via LeMat-Bulk).

Lattice parameters (Å, degrees): 8.4352 3.9653 8.8699 90.00 106.55 90.00
With the nearest neighbours (Å) after each atom.
Fractional positions:
Ba 0.1971 0.2500 0.2448  7 S 3.17-3.26, 1 Cu 3.47
Ba 0.8029 0.7500 0.7552  7 S 3.17-3.26, 1 Cu 3.47
Lu 0.3268 0.7500 0.8391  6 S 2.65-2.72
Lu 0.6732 0.2500 0.1609  6 S 2.65-2.72
Cu 0.0840 0.2500 0.5920  4 S 2.34-2.43
Cu 0.9160 0.7500 0.4080  4 S 2.34-2.43
S 0.1173 0.2500 0.8630  1 Cu 2.34
S 0.2130 0.7500 0.5280  3 Cu 2.41-2.43, 1 Lu 2.65
S 0.4531 0.7500 0.1581  3 Lu 2.71-2.72
S 0.5469 0.2500 0.8419  3 Lu 2.71-2.72
S 0.7870 0.2500 0.4720  3 Cu 2.41-2.43, 1 Lu 2.65
S 0.8827 0.7500 0.1370  1 Cu 2.34

Calculated total energy, eV/atom: -5.435
Space group: P2_1/m (11)

***

Entry 2:
# BaLuCuSeS2

Crystalline BaLuCuSeS2 at its relaxed geometry (PBE, OQMD via LeMat-Bulk).

Lattice parameters (Å, degrees): 7.2181 7.2181 10.3459 90.00 90.00 147.74
With the nearest neighbours (Å) after each atom.
Fractional positions:
Ba 0.2434 0.7566 0.7500  2 Se 3.23, 4 S 3.24, 2 Cu 3.53
Ba 0.7566 0.2434 0.2500  2 Se 3.23, 4 S 3.24, 2 Cu 3.53
Lu 0.0000 0.0000 0.0000  4 S 2.73, 2 Se 2.78
Lu 0.0000 0.0000 0.5000  4 S 2.73, 2 Se 2.78
Cu 0.4664 0.5336 0.2500  2 S 2.32, 2 Se 2.50
Cu 0.5336 0.4664 0.7500  2 S 2.32, 2 Se 2.50
Se 0.0739 0.9261 0.2500  2 Cu 2.50, 2 Lu 2.78
Se 0.9261 0.0739 0.7500  2 Cu 2.50, 2 Lu 2.78
S 0.3749 0.6251 0.0620  1 Cu 2.32
S 0.3749 0.6251 0.4380  1 Cu 2.32
S 0.6251 0.3749 0.5620  1 Cu 2.32
S 0.6251 0.3749 0.9380  1 Cu 2.32

Calculated total energy, eV/atom: -5.287
Space group: Cmcm (63)

***

Entry 3:
# BaLuCuSe2S

Crystalline BaLuCuSe2S at its relaxed geometry (PBE, OQMD via LeMat-Bulk).

Lattice parameters (Å, degrees): 7.2689 7.2689 10.2283 90.00 90.00 147.36
With the nearest neighbours (Å) after each atom.
Fractional positions:
Ba 0.2376 0.7624 0.7500  2 S 3.19, 6 Se 3.36-3.46
Ba 0.7624 0.2376 0.2500  2 S 3.19, 6 Se 3.36-3.46
Lu 0.5000 0.5000 0.0000  2 S 2.70, 4 Se 2.83
Lu 0.5000 0.5000 0.5000  2 S 2.70, 4 Se 2.83
Cu 0.0279 0.9721 0.2500  2 S 2.39, 2 Se 2.47
Cu 0.9721 0.0279 0.7500  2 S 2.39, 2 Se 2.47
Se 0.1341 0.8659 0.0569  1 Cu 2.47
Se 0.1341 0.8659 0.4431  1 Cu 2.47
Se 0.8659 0.1341 0.5569  1 Cu 2.47
Se 0.8659 0.1341 0.9431  1 Cu 2.47
S 0.4384 0.5616 0.2500  2 Cu 2.39
S 0.5616 0.4384 0.7500  2 Cu 2.39

Calculated total energy, eV/atom: -5.164
Space group: Cmcm (63)

***

Entry 4:
# BaLuCuTe2S

Crystalline BaLuCuTe2S at its relaxed geometry (PBE, OQMD via LeMat-Bulk).

Lattice parameters (Å, degrees): 7.7190 7.7190 10.5283 90.00 90.00 148.22
With the nearest neighbours (Å) after each atom.
Fractional positions:
Ba 0.2246 0.7754 0.7500  2 S 3.26, 6 Te 3.49-3.56
Ba 0.7754 0.2246 0.2500  2 S 3.26, 6 Te 3.49-3.56
Lu 0.5000 0.5000 0.0000  2 S 2.77, 4 Te 3.01
Lu 0.5000 0.5000 0.5000  2 S 2.77, 4 Te 3.01
Cu 0.0219 0.9781 0.2500  2 S 2.42, 2 Te 2.65
Cu 0.9781 0.0219 0.7500  2 S 2.42, 2 Te 2.65
Te 0.1381 0.8619 0.0587  1 Cu 2.65
Te 0.1381 0.8619 0.4413  1 Cu 2.65
Te 0.8619 0.1381 0.5587  1 Cu 2.65
Te 0.8619 0.1381 0.9413  1 Cu 2.65
S 0.4426 0.5574 0.2500  2 Cu 2.42
S 0.5574 0.4426 0.7500  2 Cu 2.42

Calculated total energy, eV/atom: -4.785
Space group: Cmcm (63)

***

Entry 5:
# BaLuCuTe2Se

Crystalline BaLuCuTe2Se at its relaxed geometry (PBE, OQMD via LeMat-Bulk).

Lattice parameters (Å, degrees): 7.7484 7.7484 10.7361 90.00 90.00 147.88
With the nearest neighbours (Å) after each atom.
Fractional positions:
Ba 0.2331 0.7669 0.7500  2 Se 3.33, 6 Te 3.55-3.59
Ba 0.7669 0.2331 0.2500  2 Se 3.33, 6 Te 3.55-3.59
Lu 0.5000 0.5000 0.0000  2 Se 2.84, 4 Te 3.03
Lu 0.5000 0.5000 0.5000  2 Se 2.84, 4 Te 3.03
Cu 0.0273 0.9727 0.2500  2 Se 2.52, 2 Te 2.64
Cu 0.9727 0.0273 0.7500  2 Se 2.52, 2 Te 2.64
Te 0.1375 0.8625 0.0568  1 Cu 2.64
Te 0.1375 0.8625 0.4432  1 Cu 2.64
Te 0.8625 0.1375 0.5568  1 Cu 2.64
Te 0.8625 0.1375 0.9432  1 Cu 2.64
Se 0.4381 0.5619 0.2500  2 Cu 2.52
Se 0.5619 0.4381 0.7500  2 Cu 2.52

Calculated total energy, eV/atom: -4.648
Space group: Cmcm (63)

***

Entry 6:
# Ba6NaCu3Te14

Crystalline Ba6NaCu3Te14 at its relaxed geometry (PBE, OQMD via LeMat-Bulk).

Lattice parameters (Å, degrees): 14.3064 14.3064 9.1039 90.00 90.00 120.00
With the nearest neighbours (Å) after each atom.
Fractional positions:
Ba 0.2077 0.4515 0.2500  9 Te 3.51-3.68, 1 Cu 3.60
Ba 0.2077 0.7562 0.7500  9 Te 3.51-3.68, 1 Cu 3.60
Ba 0.2438 0.4515 0.7500  9 Te 3.51-3.68, 1 Cu 3.60
Ba 0.2438 0.7923 0.2500  9 Te 3.51-3.68, 1 Cu 3.60
Ba 0.4515 0.2077 0.2500  9 Te 3.51-3.68, 1 Cu 3.60
Ba 0.4515 0.2438 0.7500  9 Te 3.51-3.68, 1 Cu 3.60
Ba 0.5485 0.7562 0.2500  9 Te 3.51-3.68, 1 Cu 3.60
Ba 0.5485 0.7923 0.7500  9 Te 3.51-3.68, 1 Cu 3.60
Ba 0.7562 0.2077 0.7500  9 Te 3.51-3.68, 1 Cu 3.60
Ba 0.7562 0.5485 0.2500  9 Te 3.51-3.68, 1 Cu 3.60
Ba 0.7923 0.2438 0.2500  9 Te 3.51-3.68, 1 Cu 3.60
Ba 0.7923 0.5485 0.7500  9 Te 3.51-3.68, 1 Cu 3.60
Na 0.0000 0.0000 0.0000  6 Te 3.35, 6 Cu 3.57
Na 0.0000 0.0000 0.5000  6 Te 3.35, 6 Cu 3.57
Cu 0.0000 0.1925 0.7500  4 Te 2.62-2.72
Cu 0.0000 0.8075 0.2500  4 Te 2.62-2.72
Cu 0.1925 0.0000 0.7500  4 Te 2.62-2.72
Cu 0.1925 0.1925 0.2500  4 Te 2.62-2.72
Cu 0.8075 0.0000 0.2500  4 Te 2.62-2.72
Cu 0.8075 0.8075 0.7500  4 Te 2.62-2.72
Te 0.0000 0.1721 0.2500  2 Cu 2.62
Te 0.0000 0.3188 0.5265  1 Cu 2.72, 1 Te 2.95
Te 0.0000 0.3188 0.9735  1 Cu 2.72, 1 Te 2.95
Te 0.0000 0.4684 0.7500  2 Te 2.95
Te 0.0000 0.5316 0.2500  2 Te 2.95
Te 0.0000 0.6812 0.0265  1 Cu 2.72, 1 Te 2.95
Te 0.0000 0.6812 0.4735  1 Cu 2.72, 1 Te 2.95
Te 0.0000 0.8279 0.7500  2 Cu 2.62
Te 0.1721 0.0000 0.2500  2 Cu 2.62
Te 0.1721 0.1721 0.7500  2 Cu 2.62
Te 0.3188 0.0000 0.5265  1 Cu 2.72, 1 Te 2.95
Te 0.3188 0.0000 0.9735  1 Cu 2.72, 1 Te 2.95
Te 0.3188 0.3188 0.0265  1 Cu 2.72, 1 Te 2.95
Te 0.3188 0.3188 0.4735  1 Cu 2.72, 1 Te 2.95
Te 0.3333 0.6667 0.0000  6 Ba 3.51
Te 0.3333 0.6667 0.5000  6 Ba 3.51
Te 0.4684 0.0000 0.7500  2 Te 2.95
Te 0.4684 0.4684 0.2500  2 Te 2.95
Te 0.5316 0.0000 0.2500  2 Te 2.95
Te 0.5316 0.5316 0.7500  2 Te 2.95
Te 0.6667 0.3333 0.0000  6 Ba 3.51
Te 0.6667 0.3333 0.5000  6 Ba 3.51
Te 0.6812 0.0000 0.0265  1 Cu 2.72, 1 Te 2.95
Te 0.6812 0.0000 0.4735  1 Cu 2.72, 1 Te 2.95
Te 0.6812 0.6812 0.5265  1 Cu 2.72, 1 Te 2.95
Te 0.6812 0.6812 0.9735  1 Cu 2.72, 1 Te 2.95
Te 0.8279 0.0000 0.7500  2 Cu 2.62
Te 0.8279 0.8279 0.2500  2 Cu 2.62

Calculated total energy, eV/atom: -3.827
Space group: P6_3/mcm (193)

***

Entry 7:
# BaNbCu

Crystalline BaNbCu at its relaxed geometry (PBE, OQMD via LeMat-Bulk).

Lattice parameters (Å, degrees): 4.7765 4.7765 4.7765 60.00 60.00 60.00
With the nearest neighbours (Å) after each atom.
Fractional positions:
Ba 0.0000 0.0000 0.0000  4 Nb 2.92
Nb 0.2500 0.2500 0.2500  4 Ba 2.92, 4 Cu 2.92
Cu 0.5000 0.5000 0.5000  4 Nb 2.92

Calculated total energy, eV/atom: -3.868
Space group: F-43m (216)

***

Entry 8:
# BaNb2Cu

Crystalline BaNb2Cu at its relaxed geometry (PBE, OQMD via LeMat-Bulk).

Lattice parameters (Å, degrees): 4.9068 4.9068 4.9068 60.00 60.00 60.00
With the nearest neighbours (Å) after each atom.
Fractional positions:
Ba 0.0000 0.0000 0.0000  4 Cu 3.00, 4 Nb 3.00
Nb 0.2500 0.2500 0.2500  4 Ba 3.00, 4 Nb 3.00
Nb 0.5000 0.5000 0.5000  4 Nb 3.00, 4 Cu 3.00
Cu 0.7500 0.7500 0.7500  4 Ba 3.00, 4 Nb 3.00

Calculated total energy, eV/atom: -5.563
Space group: F-43m (216)

***

Entry 9:
# BaNbCuPd

Crystalline BaNbCuPd at its relaxed geometry (PBE, OQMD via LeMat-Bulk).

Lattice parameters (Å, degrees): 5.0528 5.0528 5.0528 60.00 60.00 60.00
With the nearest neighbours (Å) after each atom.
Fractional positions:
Ba 0.0000 0.0000 0.0000  4 Pd 3.09, 4 Cu 3.09
Nb 0.5000 0.5000 0.5000  4 Cu 3.09, 4 Pd 3.09
Cu 0.2500 0.2500 0.2500  4 Ba 3.09, 4 Nb 3.09
Pd 0.7500 0.7500 0.7500  4 Nb 3.09, 4 Ba 3.09

Space group: F-43m (216)
Excess energy over the best structure of this formula in the dataset, kJ per mole of atoms: 0.00

***

Entry 10:
# BaNbCuPd

Crystalline BaNbCuPd at its relaxed geometry (PBE, OQMD via LeMat-Bulk).

Lattice parameters (Å, degrees): 4.8268 4.8268 4.8268 60.00 60.00 60.00
With the nearest neighbours (Å) after each atom.
Fractional positions:
Ba 0.0000 0.0000 0.0000  4 Nb 2.96, 4 Pd 2.96
Nb 0.7500 0.7500 0.7500  4 Ba 2.96, 4 Cu 2.96
Cu 0.5000 0.5000 0.5000  4 Nb 2.96, 4 Pd 2.96
Pd 0.2500 0.2500 0.2500  4 Ba 2.96, 4 Cu 2.96

Space group: F-43m (216)
Excess energy over the best structure of this formula in the dataset, kJ per mole of atoms: 13.65

***

Entry 11:
# BaNbCuPd

Crystalline BaNbCuPd at its relaxed geometry (PBE, OQMD via LeMat-Bulk).

Lattice parameters (Å, degrees): 4.8165 4.8165 4.8165 60.00 60.00 60.00
With the nearest neighbours (Å) after each atom.
Fractional positions:
Ba 0.0000 0.0000 0.0000  4 Nb 2.95, 4 Cu 2.95
Nb 0.2500 0.2500 0.2500  4 Ba 2.95, 4 Pd 2.95
Cu 0.7500 0.7500 0.7500  4 Ba 2.95, 4 Pd 2.95
Pd 0.5000 0.5000 0.5000  4 Nb 2.95, 4 Cu 2.95

Space group: F-43m (216)
Excess energy over the best structure of this formula in the dataset, kJ per mole of atoms: 3.65